No. 1
A plane-wave DFT calculation with meta-GGA SCAN was carried out for a crystal of Ca2Bi3Au10 relaxed with PBEsol.

a b c (Å): 5.5939 5.5939 23.0684
angles (deg): 83.04 83.04 60.00
Sites, in units of the cell vectors:
Au  0.6744  0.1760  0.4751
Au  0.6749  0.6749  0.9754
Au  0.2749  0.2749  0.1753
Au  0.0743  0.0743  0.2755
Au  0.8750  0.8750  0.3751
Au  0.4745  0.9750  0.0759
Au  0.0743  0.5758  0.2755
Au  0.2749  0.7753  0.6750
Au  0.8747  0.8747  0.8735
Au  0.2749  0.2749  0.6750
Au  0.6744  0.6744  0.4751
Au  0.4745  0.4745  0.0759
Au  0.4751  0.4751  0.5747
Au  0.1760  0.6744  0.4751
Au  0.0754  0.0754  0.7738
Au  0.7753  0.2749  0.6750
Au  0.3772  0.8747  0.8735
Au  0.9750  0.4745  0.0759
Au  0.8747  0.3772  0.8735
Au  0.5758  0.0743  0.2755
Bi  0.3988  0.3988  0.8037
Bi  0.0013  0.0013  0.9962
Bi  0.2000  0.2000  0.3999
Bi  0.5997  0.5997  0.2008
Bi  0.8004  0.8004  0.5988
Bi  0.3495  0.3495  0.9515
Ca  0.7508  0.7508  0.7476
Ca  0.1501  0.1501  0.5496
Ca  0.5496  0.5496  0.3511
Ca  0.9497  0.9497  0.1510

Properties
The total moment comes out at 0.0 μB/f.u. Its formation energy is -371 meV/atom. The space-group type is No. 160.

---

No. 2
A plane-wave DFT calculation with meta-GGA SCAN was carried out for a crystal of CaBi2Au2 relaxed with PBEsol.

a b c (Å): 4.0700 7.7477 7.7477
angles (deg): 90.00 90.00 90.00
Sites, in units of the cell vectors:
Bi  0.5000  0.6793  0.8207
Bi  0.5000  0.1793  0.6793
Bi  0.5000  0.3207  0.1793
Bi  0.5000  0.8207  0.3207
Au  0.0000  0.1251  0.3749
Au  0.0000  0.3749  0.8749
Au  0.0000  0.6251  0.1251
Au  0.0000  0.8749  0.6251
Ca  0.0000  0.5000  0.5000
Ca  0.0000  0.0000  0.0000

Properties
The total moment comes out at 0.0 μB/f.u. Its formation energy is -409 meV/atom. The space-group type is No. 127.